The following is a PBE calculation of crystalline Cd2CuHg at its relaxed geometry, from Alexandria.

Lattice parameters (Å, degrees): 4.5642 4.5642 14.3732 90.00 90.00 120.00
Space group R3m (No. 160, hexagonal axes)
Asymmetric unit:
Cd 0.0000 0.0000 0.0000 [3 per cell]
Cd 0.0000 0.0000 0.2167 [3 per cell]
Cu 0.0000 0.0000 0.6233 [3 per cell]
Hg 0.0000 0.0000 0.4362 [3 per cell]

Calculated values
The value obtained for the total DFT energy (no corrections) is -17.21 eV/cell.